No. 1
A relaxed ZnFePO2 crystal. Source: Alexandria via LeMat-Bulk, functional PBE with a Hubbard U.

Cell lengths 3.7949, 3.7949, 4.9114 Å; angles 90.00, 90.00, 90.00 degrees
With the nearest neighbours (Å) after each atom.
Space group P4/mmm (No. 123)
Inequivalent atoms, fractional coordinates:
1 Zn 0.0000 0.0000 0.0000  4 O 1.90
2 Fe 0.5000 0.5000 0.5000  4 P 2.68
3 P 0.0000 0.0000 0.5000  2 Zn 2.46, 4 Fe 2.68
4 O 0.0000 0.5000 0.0000  2 Zn 1.90



No. 2
A relaxed SrNiF5 crystal. Source: Alexandria via LeMat-Bulk, functional PBE with a Hubbard U.

Cell lengths 9.3696, 6.6641, 7.9254 Å; angles 90.00, 115.16, 90.00 degrees
With the nearest neighbours (Å) after each atom.
Space group C2/c (No. 15)
Inequivalent atoms, fractional coordinates:
1 Sr 0.0000 0.0489 0.2500  7 F 2.41-2.55
2 Ni 0.0000 0.5000 0.0000  6 F 1.85-2.03
3 F 0.0000 0.4309 0.2500  2 Ni 2.03
4 F 0.0110 0.2160 0.9722  1 Ni 1.91
5 F 0.2175 0.4837 0.6111  1 Ni 1.85



no.,calculated total energy (eV per atom)
1,-4.202
2,-4.619